Record 1
Computed, not measured: an optimized crystal structure of ErCdCo at the PBE level of DFT.

Geometry as POSCAR:
```
ErCdCo
1.0
0.0000 3.2770 3.2770
3.2770 0.0000 3.2770
3.2770 3.2770 0.0000
Er Cd Co
1 1 1
direct
0.0000 0.0000 0.0000 Er
0.7500 0.7500 0.7500 Cd
0.2500 0.2500 0.2500 Co
```

Calculated density ... 8.0 Mg/m³
Final energy ... -10.7 eV/cell
ΔE_f ... 0.61 eV/atom
Crystal system ... cubic

Record 2
Computed, not measured: an optimized crystal structure of Cd2FeCo at the PBE level of DFT.

Geometry as POSCAR:
```
Cd2FeCo
1.0
0.0000 3.1500 3.1500
3.1500 0.0000 3.1500
3.1500 3.1500 0.0000
Cd Fe Co
2 1 1
direct
0.0000 0.0000 0.0000 Cd
0.2500 0.2500 0.2500 Cd
0.7500 0.7500 0.7500 Fe
0.5000 0.5000 0.5000 Co
```

Calculated density ... 9.0 Mg/m³
Final energy ... -15.7 eV/cell
ΔE_f ... 0.37 eV/atom
Crystal system ... cubic

Record 3
Computed, not measured: an optimized crystal structure of CdGaFeCo at the PBE level of DFT.

Geometry as POSCAR:
```
CdGaFeCo
1.0
0.0000 3.0455 3.0455
3.0455 0.0000 3.0455
3.0455 3.0455 0.0000
Cd Ga Fe Co
1 1 1 1
direct
0.0000 0.0000 0.0000 Cd
0.5000 0.5000 0.5000 Ga
0.2500 0.2500 0.2500 Fe
0.7500 0.7500 0.7500 Co
```

ΔE to the lowest computed polymorph ... 0 meV/atom
Calculated density ... 8.7 Mg/m³
Final energy ... -18.5 eV/cell
Crystal system ... cubic

Record 4
Computed, not measured: an optimized crystal structure of CdInFeCo at the PBE level of DFT.

Geometry as POSCAR:
```
CdInFeCo
1.0
0.0000 3.1574 3.1574
3.1574 0.0000 3.1574
3.1574 3.1574 0.0000
Cd In Fe Co
1 1 1 1
direct
0.0000 0.0000 0.0000 Cd
0.5000 0.5000 0.5000 In
0.2500 0.2500 0.2500 Fe
0.7500 0.7500 0.7500 Co
```

ΔE to the lowest computed polymorph ... 0 meV/atom
Calculated density ... 9.0 Mg/m³
Final energy ... -17.7 eV/cell
Crystal system ... cubic

Record 5
Computed, not measured: an optimized crystal structure of Ta2Cd2FeCoIr2 at the PBE level of DFT.

Geometry as POSCAR:
```
Ta2Cd2FeCoIr2
1.0
4.4376 0.0000 0.0000
0.0000 4.4376 0.0000
0.0000 0.0000 6.2806
Ta Cd Fe Co Ir
2 2 1 1 2
direct
0.0000 0.5000 0.2477 Ta
0.5000 0.0000 0.7523 Ta
0.0000 0.5000 0.7489 Cd
0.5000 0.0000 0.2511 Cd
0.0000 0.0000 0.0000 Fe
0.5000 0.5000 0.5000 Co
0.0000 0.0000 0.5000 Ir
0.5000 0.5000 0.0000 Ir
```

Calculated density ... 14.6 Mg/m³
Final energy ... -59.3 eV/cell
ΔE_f ... -0.09 eV/atom
Crystal system ... tetragonal

Record 6
Computed, not measured: an optimized crystal structure of CdFeCoSi at the PBE level of DFT.

Geometry as POSCAR:
```
CdFeCoSi
1.0
0.0000 2.9431 2.9431
2.9431 0.0000 2.9431
2.9431 2.9431 0.0000
Cd Fe Co Si
1 1 1 1
direct
0.0000 0.0000 0.0000 Cd
0.2500 0.2500 0.2500 Fe
0.7500 0.7500 0.7500 Co
0.5000 0.5000 0.5000 Si
```

ΔE to the lowest computed polymorph ... 0 meV/atom
Calculated density ... 8.3 Mg/m³
Final energy ... -21.0 eV/cell
Crystal system ... cubic

Record 7
Computed, not measured: an optimized crystal structure of TlCdFeCo at the PBE level of DFT.

Geometry as POSCAR:
```
TlCdFeCo
1.0
0.0000 3.2007 3.2007
3.2007 0.0000 3.2007
3.2007 3.2007 0.0000
Tl Cd Fe Co
1 1 1 1
direct
0.0000 0.0000 0.0000 Tl
0.5000 0.5000 0.5000 Cd
0.7500 0.7500 0.7500 Fe
0.2500 0.2500 0.2500 Co
```

ΔE to the lowest computed polymorph ... 0 meV/atom
Calculated density ... 10.9 Mg/m³
Final energy ... -16.6 eV/cell
Crystal system ... cubic

Record 8
Computed, not measured: an optimized crystal structure of CdGaCo2 at the PBE level of DFT.

Geometry as POSCAR:
```
CdGaCo2
1.0
0.0000 3.0380 3.0380
3.0380 0.0000 3.0380
3.0380 3.0380 0.0000
Cd Ga Co
1 1 2
direct
0.0000 0.0000 0.0000 Cd
0.7500 0.7500 0.7500 Ga
0.2500 0.2500 0.2500 Co
0.5000 0.5000 0.5000 Co
```

Calculated density ... 8.9 Mg/m³
Final energy ... -16.8 eV/cell
Crystal system ... cubic

Record 9
Computed, not measured: an optimized crystal structure of Cd2GaCo at the PBE level of DFT.

Geometry as POSCAR:
```
Cd2GaCo
1.0
0.0000 3.2291 3.2291
3.2291 0.0000 3.2291
3.2291 3.2291 0.0000
Cd Ga Co
2 1 1
direct
0.0000 0.0000 0.0000 Cd
0.2500 0.2500 0.2500 Cd
0.5000 0.5000 0.5000 Ga
0.7500 0.7500 0.7500 Co
```

Calculated density ... 8.7 Mg/m³
Final energy ... -10.8 eV/cell
Crystal system ... cubic

Record 10
Computed, not measured: an optimized crystal structure of MgCdGaCo at the PBE level of DFT.

Geometry as POSCAR:
```
MgCdGaCo
1.0
0.0000 3.1662 3.1662
3.1662 0.0000 3.1662
3.1662 3.1662 0.0000
Mg Cd Ga Co
1 1 1 1
direct
0.0000 0.0000 0.0000 Mg
0.7500 0.7500 0.7500 Cd
0.2500 0.2500 0.2500 Ga
0.5000 0.5000 0.5000 Co
```

ΔE to the lowest computed polymorph ... 0 meV/atom
Calculated density ... 6.9 Mg/m³
Final energy ... -12.3 eV/cell
Crystal system ... cubic

Record 11
Computed, not measured: an optimized crystal structure of CdGaCoNi at the PBE level of DFT.

Geometry as POSCAR:
```
CdGaCoNi
1.0
0.0000 3.0155 3.0155
3.0155 0.0000 3.0155
3.0155 3.0155 0.0000
Cd Ga Co Ni
1 1 1 1
direct
0.0000 0.0000 0.0000 Cd
0.5000 0.5000 0.5000 Ga
0.7500 0.7500 0.7500 Co
0.2500 0.2500 0.2500 Ni
```

ΔE to the lowest computed polymorph ... 0 meV/atom
Calculated density ... 9.1 Mg/m³
Final energy ... -16.6 eV/cell
Crystal system ... cubic

Record 12
Computed, not measured: an optimized crystal structure of CdGaCoNi at the PBE level of DFT.

Geometry as POSCAR:
```
CdGaCoNi
1.0
0.0000 3.0364 3.0364
3.0364 0.0000 3.0364
3.0364 3.0364 0.0000
Cd Ga Co Ni
1 1 1 1
direct
0.0000 0.0000 0.0000 Cd
0.2500 0.2500 0.2500 Ga
0.5000 0.5000 0.5000 Co
0.7500 0.7500 0.7500 Ni
```

ΔE to the lowest computed polymorph ... 167 meV/atom
Calculated density ... 8.9 Mg/m³
Final energy ... -15.9 eV/cell
Crystal system ... cubic

Record 13
Computed, not measured: an optimized crystal structure of CdGaCoOs at the PBE level of DFT.

Geometry as POSCAR:
```
CdGaCoOs
1.0
0.0000 3.0887 3.0887
3.0887 0.0000 3.0887
3.0887 3.0887 0.0000
Cd Ga Co Os
1 1 1 1
direct
0.0000 0.0000 0.0000 Cd
0.5000 0.5000 0.5000 Ga
0.7500 0.7500 0.7500 Co
0.2500 0.2500 0.2500 Os
```

ΔE to the lowest computed polymorph ... 0 meV/atom
Calculated density ... 12.2 Mg/m³
Final energy ... -20.7 eV/cell
Crystal system ... cubic

Record 14
Computed, not measured: an optimized crystal structure of CdGaCoPd at the PBE level of DFT.

Geometry as POSCAR:
```
CdGaCoPd
1.0
0.0000 3.1109 3.1109
3.1109 0.0000 3.1109
3.1109 3.1109 0.0000
Cd Ga Co Pd
1 1 1 1
direct
0.0000 0.0000 0.0000 Cd
0.5000 0.5000 0.5000 Ga
0.7500 0.7500 0.7500 Co
0.2500 0.2500 0.2500 Pd
```

ΔE to the lowest computed polymorph ... 0 meV/atom
Calculated density ... 9.6 Mg/m³
Final energy ... -16.7 eV/cell
Crystal system ... cubic

Record 15
Computed, not measured: an optimized crystal structure of CdGaCoPt at the PBE level of DFT.

Geometry as POSCAR:
```
CdGaCoPt
1.0
0.0000 3.1216 3.1216
3.1216 0.0000 3.1216
3.1216 3.1216 0.0000
Cd Ga Co Pt
1 1 1 1
direct
0.0000 0.0000 0.0000 Cd
0.5000 0.5000 0.5000 Ga
0.7500 0.7500 0.7500 Co
0.2500 0.2500 0.2500 Pt
```

ΔE to the lowest computed polymorph ... 0 meV/atom
Calculated density ... 11.9 Mg/m³
Final energy ... -17.5 eV/cell
Crystal system ... cubic

Record 16
Computed, not measured: an optimized crystal structure of CdGaCoRe at the PBE level of DFT.

Geometry as POSCAR:
```
CdGaCoRe
1.0
0.0000 3.1091 3.1091
3.1091 0.0000 3.1091
3.1091 3.1091 0.0000
Cd Ga Co Re
1 1 1 1
direct
0.0000 0.0000 0.0000 Cd
0.5000 0.5000 0.5000 Ga
0.7500 0.7500 0.7500 Co
0.2500 0.2500 0.2500 Re
```

ΔE to the lowest computed polymorph ... 0 meV/atom
Calculated density ... 11.8 Mg/m³
Final energy ... -21.2 eV/cell
Crystal system ... cubic

Record 17
Computed, not measured: an optimized crystal structure of ScCdGaCo at the PBE level of DFT.

Geometry as POSCAR:
```
ScCdGaCo
1.0
0.0000 3.1980 3.1980
3.1980 0.0000 3.1980
3.1980 3.1980 0.0000
Sc Cd Ga Co
1 1 1 1
direct
0.0000 0.0000 0.0000 Sc
0.2500 0.2500 0.2500 Cd
0.5000 0.5000 0.5000 Ga
0.7500 0.7500 0.7500 Co
```

ΔE to the lowest computed polymorph ... 47 meV/atom
Calculated density ... 7.3 Mg/m³
Final energy ... -17.8 eV/cell
Crystal system ... cubic

Record 18
Computed, not measured: an optimized crystal structure of ScCdGaCo at the PBE level of DFT.

Geometry as POSCAR:
```
ScCdGaCo
1.0
0.0000 3.1978 3.1978
3.1978 0.0000 3.1978
3.1978 3.1978 0.0000
Sc Cd Ga Co
1 1 1 1
direct
0.0000 0.0000 0.0000 Sc
0.7500 0.7500 0.7500 Cd
0.2500 0.2500 0.2500 Ga
0.5000 0.5000 0.5000 Co
```

ΔE to the lowest computed polymorph ... 0 meV/atom
Calculated density ... 7.3 Mg/m³
Final energy ... -18.0 eV/cell
Crystal system ... cubic

Record 19
Computed, not measured: an optimized crystal structure of TaCdGaCo at the PBE level of DFT.

Geometry as POSCAR:
```
TaCdGaCo
1.0
0.0000 3.1718 3.1718
3.1718 0.0000 3.1718
3.1718 3.1718 0.0000
Ta Cd Ga Co
1 1 1 1
direct
0.0000 0.0000 0.0000 Ta
0.7500 0.7500 0.7500 Cd
0.2500 0.2500 0.2500 Ga
0.5000 0.5000 0.5000 Co
```

ΔE to the lowest computed polymorph ... 71 meV/atom
Calculated density ... 11.0 Mg/m³
Final energy ... -21.4 eV/cell
Crystal system ... cubic

Record 20
Computed, not measured: an optimized crystal structure of TaCdGaCo at the PBE level of DFT.

Geometry as POSCAR:
```
TaCdGaCo
1.0
0.0000 3.1613 3.1613
3.1613 0.0000 3.1613
3.1613 3.1613 0.0000
Ta Cd Ga Co
1 1 1 1
direct
0.0000 0.0000 0.0000 Ta
0.2500 0.2500 0.2500 Cd
0.5000 0.5000 0.5000 Ga
0.7500 0.7500 0.7500 Co
```

ΔE to the lowest computed polymorph ... 0 meV/atom
Calculated density ... 11.1 Mg/m³
Final energy ... -21.7 eV/cell
Crystal system ... cubic

Record 21
Computed, not measured: an optimized crystal structure of CdGaCoTc at the PBE level of DFT.

Geometry as POSCAR:
```
CdGaCoTc
1.0
0.0000 3.1032 3.1032
3.1032 0.0000 3.1032
3.1032 3.1032 0.0000
Cd Ga Co Tc
1 1 1 1
direct
0.0000 0.0000 0.0000 Cd
0.5000 0.5000 0.5000 Ga
0.7500 0.7500 0.7500 Co
0.2500 0.2500 0.2500 Tc
```

ΔE to the lowest computed polymorph ... 0 meV/atom
Calculated density ... 9.4 Mg/m³
Final energy ... -20.1 eV/cell
Crystal system ... cubic

Record 22
Computed, not measured: an optimized crystal structure of CdGaCoW at the PBE level of DFT.

Geometry as POSCAR:
```
CdGaCoW
1.0
0.0000 3.1381 3.1381
3.1381 0.0000 3.1381
3.1381 3.1381 0.0000
Cd Ga Co W
1 1 1 1
direct
0.0000 0.0000 0.0000 Cd
0.5000 0.5000 0.5000 Ga
0.7500 0.7500 0.7500 Co
0.2500 0.2500 0.2500 W
```

ΔE to the lowest computed polymorph ... 0 meV/atom
Calculated density ... 11.4 Mg/m³
Final energy ... -21.5 eV/cell
Crystal system ... cubic

Record 23
Computed, not measured: an optimized crystal structure of YCdGaCo at the PBE level of DFT.

Geometry as POSCAR:
```
YCdGaCo
1.0
0.0000 3.3306 3.3306
3.3306 0.0000 3.3306
3.3306 3.3306 0.0000
Y Cd Ga Co
1 1 1 1
direct
0.0000 0.0000 0.0000 Y
0.7500 0.7500 0.7500 Cd
0.2500 0.2500 0.2500 Ga
0.5000 0.5000 0.5000 Co
```

ΔE to the lowest computed polymorph ... 0 meV/atom
Calculated density ... 7.4 Mg/m³
Final energy ... -17.8 eV/cell
Crystal system ... cubic

Record 24
Computed, not measured: an optimized crystal structure of YCdGaCo at the PBE level of DFT.

Geometry as POSCAR:
```
YCdGaCo
1.0
0.0000 3.3467 3.3467
3.3467 0.0000 3.3467
3.3467 3.3467 0.0000
Y Cd Ga Co
1 1 1 1
direct
0.0000 0.0000 0.0000 Y
0.2500 0.2500 0.2500 Cd
0.5000 0.5000 0.5000 Ga
0.7500 0.7500 0.7500 Co
```

ΔE to the lowest computed polymorph ... 28 meV/atom
Calculated density ... 7.3 Mg/m³
Final energy ... -17.7 eV/cell
Crystal system ... cubic

Record 25
Computed, not measured: an optimized crystal structure of ZnCdGaCo at the PBE level of DFT.

Geometry as POSCAR:
```
ZnCdGaCo
1.0
0.0000 3.1106 3.1106
3.1106 0.0000 3.1106
3.1106 3.1106 0.0000
Zn Cd Ga Co
1 1 1 1
direct
0.0000 0.0000 0.0000 Zn
0.7500 0.7500 0.7500 Cd
0.2500 0.2500 0.2500 Ga
0.5000 0.5000 0.5000 Co
```

Calculated density ... 8.5 Mg/m³
Final energy ... -11.6 eV/cell
Crystal system ... cubic

Record 26
Computed, not measured: an optimized crystal structure of ZnCdGaCo at the PBE level of DFT.

Geometry as POSCAR:
```
ZnCdGaCo
1.0
0.0000 3.1078 3.1078
3.1078 0.0000 3.1078
3.1078 3.1078 0.0000
Zn Cd Ga Co
1 1 1 1
direct
0.0000 0.0000 0.0000 Zn
0.2500 0.2500 0.2500 Cd
0.5000 0.5000 0.5000 Ga
0.7500 0.7500 0.7500 Co
```

Calculated density ... 8.5 Mg/m³
Final energy ... -11.6 eV/cell
Crystal system ... cubic

Record 27
Computed, not measured: an optimized crystal structure of ZrCdGaCo at the PBE level of DFT.

Geometry as POSCAR:
```
ZrCdGaCo
1.0
0.0000 3.2272 3.2272
3.2272 0.0000 3.2272
3.2272 3.2272 0.0000
Zr Cd Ga Co
1 1 1 1
direct
0.0000 0.0000 0.0000 Zr
0.7500 0.7500 0.7500 Cd
0.2500 0.2500 0.2500 Ga
0.5000 0.5000 0.5000 Co
```

ΔE to the lowest computed polymorph ... 43 meV/atom
Calculated density ... 8.2 Mg/m³
Final energy ... -19.6 eV/cell
Crystal system ... cubic

Record 28
Computed, not measured: an optimized crystal structure of ZrCdGaCo at the PBE level of DFT.

Geometry as POSCAR:
```
ZrCdGaCo
1.0
0.0000 3.2215 3.2215
3.2215 0.0000 3.2215
3.2215 3.2215 0.0000
Zr Cd Ga Co
1 1 1 1
direct
0.0000 0.0000 0.0000 Zr
0.2500 0.2500 0.2500 Cd
0.5000 0.5000 0.5000 Ga
0.7500 0.7500 0.7500 Co
```

ΔE to the lowest computed polymorph ... 0 meV/atom
Calculated density ... 8.3 Mg/m³
Final energy ... -19.8 eV/cell
Crystal system ... cubic

Record 29
Computed, not measured: an optimized crystal structure of Gd4CdCo at the PBE level of DFT.

Geometry as POSCAR:
```
Gd4CdCo
1.0
0.0000 6.7607 6.7607
6.7607 0.0000 6.7607
6.7607 6.7607 0.0000
Gd Cd Co
16 4 4
direct
0.0614 0.0614 0.4386 Gd
0.0614 0.4386 0.0614 Gd
0.0614 0.4386 0.4386 Gd
0.1884 0.1884 0.8116 Gd
0.1884 0.8116 0.1884 Gd
0.1884 0.8116 0.8116 Gd
0.2099 0.5967 0.5967 Gd
0.4386 0.0614 0.0614 Gd
0.4386 0.0614 0.4386 Gd
0.4386 0.4386 0.0614 Gd
0.5967 0.2099 0.5967 Gd
0.5967 0.5967 0.2099 Gd
0.5967 0.5967 0.5967 Gd
0.8116 0.1884 0.1884 Gd
0.8116 0.1884 0.8116 Gd
0.8116 0.8116 0.1884 Gd
0.5092 0.8303 0.8303 Cd
0.8303 0.5092 0.8303 Cd
0.8303 0.8303 0.5092 Cd
0.8303 0.8303 0.8303 Cd
0.3911 0.3911 0.3911 Co
0.3911 0.3911 0.8266 Co
0.3911 0.8266 0.3911 Co
0.8266 0.3911 0.3911 Co
```

Calculated density ... 8.6 Mg/m³
Final energy ... -112.2 eV/cell
ΔE_f ... -0.24 eV/atom
Crystal system ... cubic